(1)
A geometry-optimized PrTmTlSn structure. Source: Alexandria via LeMat-Bulk, functional PBE.

Unit cell a=7.677 b=7.677 c=7.677 alpha=90.00 beta=90.00 gamma=90.00
Space group F-43m (No. 216)
Symmetry-distinct sites (fractional):
Pr  0.000  0.000  0.000 [4 per cell]
Tm  0.000  0.000  0.500 [4 per cell]
Tl  0.250  0.250  0.750 [4 per cell]
Sn  0.250  0.250  0.250 [4 per cell]

Summary:
Total energy in eV per atom: -4.35
Calculated formation energy in eV per atom: -0.445

=====

(2)
A geometry-optimized CsK2TbCl6 structure. Source: Alexandria via LeMat-Bulk, functional PBE.

Unit cell a=7.8689 b=7.8689 c=20.8442 alpha=90.00 beta=90.00 gamma=120.00
Space group R3 (No. 146, hexagonal axes)
Symmetry-distinct sites (fractional):
Cs  0.0000  0.0000  0.0000 [3 per cell]
K  0.0000  0.0000  0.2805 [3 per cell]
K  0.0000  0.0000  0.7954 [3 per cell]
Tb  0.0000  0.0000  0.4834 [3 per cell]
Cl  0.0202  0.2994  0.5506 [9 per cell]
Cl  0.0219  0.7479  0.4016 [9 per cell]

Summary:
Total energy in eV per atom: -4.01
Formation energy without anion corrections in eV/atom: -2.132

=====

(3)
A geometry-optimized Si2TeP structure. Source: Alexandria via LeMat-Bulk, functional PBE.

Unit cell a=3.287 b=4.802 c=9.678 alpha=90.00 beta=90.00 gamma=90.00
Space group Immm (No. 71)
Symmetry-distinct sites (fractional):
Si  0.000  0.000  0.198 [4 per cell]
Te  0.000  0.500  0.000 [2 per cell]
P  0.000  0.500  0.500 [2 per cell]

Summary:
Total energy in eV per atom: -4.25
E above lowest polymorph in meV/atom: 429
Formation energy without anion corrections in eV/atom: 0.601

=====

(4)
A geometry-optimized MgBeCo2 structure. Source: Alexandria via LeMat-Bulk, functional PBE.

Unit cell a=2.582 b=3.594 c=5.109 alpha=90.00 beta=104.62 gamma=90.00
Space group P2/m (No. 10)
Symmetry-distinct sites (fractional):
Mg  0.000  0.000  0.000 [1 per cell]
Be  0.000  0.000  0.500 [1 per cell]
Co  0.383  0.500  0.704 [2 per cell]

Summary:
Total energy in eV per atom: -4.79
E above lowest polymorph in meV/atom: 104
Calculated formation energy in eV per atom: 0.095